# Co2Cl3F

Crystalline Co2Cl3F at its relaxed geometry (PBE+U, Alexandria).

Computed properties:
The crystal system is monoclinic. As for the space-group type: C2/m (12). For the electronic total energy, the calculation gives -4.041 eV per atom.

The structure in CIF format:
```
data_Co2Cl3F
_cell_length_a 8.3931
_cell_length_b 8.3931
_cell_length_c 9.7627
_cell_angle_alpha 106.67
_cell_angle_beta 106.67
_cell_angle_gamma 24.12
_space_group_name_H-M_alt 'P 1'
_space_group_IT_number 1
loop_
_space_group_symop_operation_xyz
'x,y,z'
loop_
_atom_site_label
_atom_site_type_symbol
_atom_site_fract_x
_atom_site_fract_y
_atom_site_fract_z
_atom_site_occupancy
Co1 Co 0.0831 0.0831 0.2755 1
Co2 Co 0.4029 0.4029 0.0414 1
Co3 Co 0.5971 0.5971 0.9586 1
Co4 Co 0.9169 0.9169 0.7245 1
Cl1 Cl 0.0760 0.0760 0.7776 1
Cl2 Cl 0.1800 0.1800 0.1164 1
Cl3 Cl 0.3697 0.3697 0.5648 1
Cl4 Cl 0.6303 0.6303 0.4352 1
Cl5 Cl 0.8200 0.8200 0.8836 1
Cl6 Cl 0.9240 0.9240 0.2224 1
F1 F 0.4606 0.4606 0.8725 1
F2 F 0.5394 0.5394 0.1275 1
```